1.
Material: Cr2CdNiPd
Method: DFT, PBE
State: relaxed

```
data_Cr2CdNiPd
_chemical_formula_sum 'Cr2 Cd1 Ni1 Pd1'
_cell_length_a 4.990
_cell_length_b 4.990
_cell_length_c 4.605
_cell_angle_alpha 90.00
_cell_angle_beta 90.00
_cell_angle_gamma 90.00
_symmetry_space_group_name_H-M 'P 4/m m m'
_symmetry_Int_Tables_number 123
_symmetry_space_group_name_Hall '-P 4 2'
loop_
_atom_site_label
_atom_site_fract_x
_atom_site_fract_y
_atom_site_fract_z
Cr1 0.000 0.500 0.000
Cd1 0.000 0.000 0.000
Ni1 0.000 0.000 0.500
Pd1 0.500 0.500 0.500
```

Calculated values
Spin magnetization ... 1.904 μB per atom
Formation enthalpy at 0 K ... 1543.8 meV per atom
D(E_F) ... 4.4 states/eV per cell

=====

2.
Material: CrCdTcNi2
Method: DFT, PBE
State: relaxed

```
data_CrCdTcNi2
_chemical_formula_sum 'Cr1 Cd1 Tc1 Ni2'
_cell_length_a 4.221
_cell_length_b 4.221
_cell_length_c 4.894
_cell_angle_alpha 90.00
_cell_angle_beta 90.00
_cell_angle_gamma 90.00
_symmetry_space_group_name_H-M 'P 4/m m m'
_symmetry_Int_Tables_number 123
_symmetry_space_group_name_Hall '-P 4 2'
loop_
_atom_site_label
_atom_site_fract_x
_atom_site_fract_y
_atom_site_fract_z
Cr1 0.000 0.000 0.000
Cd1 0.000 0.000 0.500
Tc1 0.500 0.500 0.500
Ni1 0.000 0.500 0.000
```

Calculated values
Spin magnetization ... 0.946 μB per atom
Formation enthalpy at 0 K ... 1472.1 meV per atom
D(E_F) ... 5.0 states/eV per cell

=====

3.
Material: CrCdNiTe2
Method: DFT, PBE
State: relaxed

```
data_CrCdNiTe2
_chemical_formula_sum 'Cr1 Cd1 Ni1 Te2'
_cell_length_a 4.944
_cell_length_b 4.944
_cell_length_c 5.082
_cell_angle_alpha 90.00
_cell_angle_beta 90.00
_cell_angle_gamma 90.00
_symmetry_space_group_name_H-M 'P 4/m m m'
_symmetry_Int_Tables_number 123
_symmetry_space_group_name_Hall '-P 4 2'
loop_
_atom_site_label
_atom_site_fract_x
_atom_site_fract_y
_atom_site_fract_z
Cr1 0.000 0.000 0.000
Cd1 0.000 0.000 0.500
Ni1 0.500 0.500 0.500
Te1 0.000 0.500 0.000
```

Calculated values
Spin magnetization ... 0.268 μB per atom
Formation energy from raw total energies ... 0.836 eV/atom
D(E_F) ... 5.5 states/eV per cell

=====

4.
Material: TiCrCdNi2
Method: DFT, PBE
State: relaxed

```
data_TiCrCdNi2
_chemical_formula_sum 'Ti1 Cr1 Cd1 Ni2'
_cell_length_a 4.455
_cell_length_b 4.455
_cell_length_c 4.194
_cell_angle_alpha 90.00
_cell_angle_beta 90.00
_cell_angle_gamma 90.00
_symmetry_space_group_name_H-M 'P 4/m m m'
_symmetry_Int_Tables_number 123
_symmetry_space_group_name_Hall '-P 4 2'
loop_
_atom_site_label
_atom_site_fract_x
_atom_site_fract_y
_atom_site_fract_z
Ti1 0.000 0.000 0.000
Cr1 0.000 0.000 0.500
Cd1 0.500 0.500 0.000
Ni1 0.000 0.500 0.500
```

Calculated values
Spin magnetization ... 0.000 μB per atom
Formation enthalpy at 0 K ... 699.8 meV per atom
D(E_F) ... 4.3 states/eV per cell

=====

Please write out number 3 again, unchanged.
Material: CrCdNiTe2
Method: DFT, PBE
State: relaxed

```
data_CrCdNiTe2
_chemical_formula_sum 'Cr1 Cd1 Ni1 Te2'
_cell_length_a 4.944
_cell_length_b 4.944
_cell_length_c 5.082
_cell_angle_alpha 90.00
_cell_angle_beta 90.00
_cell_angle_gamma 90.00
_symmetry_space_group_name_H-M 'P 4/m m m'
_symmetry_Int_Tables_number 123
_symmetry_space_group_name_Hall '-P 4 2'
loop_
_atom_site_label
_atom_site_fract_x
_atom_site_fract_y
_atom_site_fract_z
Cr1 0.000 0.000 0.000
Cd1 0.000 0.000 0.500
Ni1 0.500 0.500 0.500
Te1 0.000 0.500 0.000
```

Calculated values
Spin magnetization ... 0.268 μB per atom
Formation energy from raw total energies ... 0.836 eV/atom
D(E_F) ... 5.5 states/eV per cell